SCAN AlInOs2, PBEsol geometry; magnetization = 0.000 Bohr magnetons per cell; E_form = 0.18 eV per atom; energy above the lowest structure with this stoichiometry = 0.1361 eV per atom; space group = No. 166; energy = -46.04 eV/atom; density = 14.16 Mg/m³
1.0
-1.8462 2.0645 -0.5672
-2.0671 -0.4294 -1.8802
-6.5763 -2.3927 5.6510
In Os Al
1 2 1
Cartesian
0.0000 0.0000 0.0000
-7.7505 -0.5031 2.2596
-2.7391 -0.2544 0.9441
-5.2448 -0.3788 1.6018